CoAsBr2O (GGA+U, optimized geometry); DFT total energy = -2.875 eV per atom; ΔE to the lowest computed polymorph = 0 meV per atom; total magnetization = 3.044 μB/f.u.
1.0
-0.053 -3.968 2.754
4.734 0.504 0.816
-0.851 2.405 3.449
As Co O Br
1 1 1 2
direct
0.000 0.000 0.500
0.500 0.500 0.500
0.000 0.000 0.000
0.000 0.500 0.000
0.500 0.000 0.000